Here is a relaxed LaPd2Pb crystal from the Alexandria database. Energies are from PBE.

a b c (Å): 6.3137 6.3137 6.3137
angles (deg): 151.06 125.91 62.51
Closest atoms and distances in Å follow each position.
Fractional coordinates of all 4 atoms:
La: 0.0000 0.0000 0.0000  2 Pd 2.62
Pd: 0.2429 0.2429 0.0000  1 La 2.62, 1 Pb 2.78
Pd: 0.7571 0.7571 0.0000  1 La 2.62, 1 Pb 2.78
Pb: 0.5000 0.5000 0.0000  2 Pd 2.78

Uncorrected energy, eV per atom: -4.77
SG: Immm, No. 71
V, Å³ per cell: 97.80
Density, kg/m³: 9491
Formation enthalpy at 0 K, eV/atom: -0.0180